Computed, not measured: a geometry-optimized Nd6Ho8Th structure at the PBE level of DFT.

Cell: 9.1020 9.1020 20.8989 Å, 90.00 90.00 120.00°
With the nearest neighbours (Å) after each atom.
Space group R-3 (No. 148, hexagonal axes)
Asymmetric unit:
1 Nd 0.0593 0.2481 0.2110 [18 per cell]  4 Ho 3.39-3.66, 1 Th 3.48, 2 Nd 3.54
2 Ho 0.0000 0.0000 0.0771 [6 per cell]  4 Ho 3.22-3.43, 3 Nd 3.46
3 Ho 0.0813 0.5617 0.3053 [18 per cell]  3 Nd 3.39-3.66, 5 Ho 3.43-3.48, 1 Th 3.52
4 Th 0.0000 0.0000 0.5000 [3 per cell]  6 Nd 3.48, 6 Ho 3.52

Summary:
- Total magnetic moment: 0.00 μB per cell
- Calculated volume: 33.3 A^3/atom
- Energy of formation: 0.122 eV/atom

=====

Computed, not measured: a geometry-optimized BaAl9Fe2 structure at the PBE level of DFT.

Cell: 8.0076 8.0076 3.9395 Å, 90.00 90.00 120.00°
With the nearest neighbours (Å) after each atom.
Space group P6/mmm (No. 191)
Asymmetric unit:
1 Ba 0.0000 0.0000 0.0000 [1 per cell]  18 Al 3.59-4.00, 2 Ba 3.94
2 Al 0.0000 0.5000 0.0000 [3 per cell]  2 Fe 2.31
3 Al 0.2165 0.4330 0.5000 [6 per cell]  2 Fe 2.55, 6 Al 2.81-2.85
4 Fe 0.3333 0.6667 0.0000 [2 per cell]  9 Al 2.31-2.55

Summary:
- Total magnetic moment: 0.00 μB per cell
- Calculated volume: 18.2 A^3/atom
- Energy of formation: -0.320 eV/atom

=====

Computed, not measured: a geometry-optimized Sm6Er2Sc structure at the PBE level of DFT.

Cell: 7.3713 7.3713 19.2832 Å, 90.00 90.00 120.00°
With the nearest neighbours (Å) after each atom.
Space group R3m (No. 160, hexagonal axes)
Asymmetric unit:
1 Sm 0.0097 0.5049 0.0000 [9 per cell]  1 Sc 3.12, 2 Sm 3.48
2 Sm 0.0426 0.5213 0.8041 [9 per cell]  1 Sc 2.86
3 Er 0.0000 0.0000 0.8133 [3 per cell]  1 Er 3.35, 9 Sm 3.58-3.70
4 Er 0.0000 0.0000 0.9870 [3 per cell]  1 Er 3.35, 9 Sm 3.44-3.69
5 Sc 0.0000 0.0000 0.5516 [3 per cell]  6 Sm 2.86-3.12

Summary:
- Total magnetic moment: 0.00 μB per cell
- Calculated volume: 33.6 A^3/atom
- Energy of formation: 0.341 eV/atom
- Energy relative to the lowest polymorph listed for this composition: 0.2791 eV/atom

=====

Computed, not measured: a geometry-optimized YScCr2Fe structure at the PBE level of DFT.

Cell: 4.5609 4.5609 4.6672 Å, 90.00 90.00 90.00°
With the nearest neighbours (Å) after each atom.
Space group P4/mmm (No. 123)
Asymmetric unit:
1 Y 0.0000 0.0000 0.0000 [1 per cell]  4 Sc 3.23, 8 Cr 3.26
2 Sc 0.5000 0.5000 0.0000 [1 per cell]  2 Fe 2.33
3 Cr 0.0000 0.5000 0.5000 [2 per cell]  2 Fe 2.28
4 Fe 0.5000 0.5000 0.5000 [1 per cell]  4 Cr 2.28, 2 Sc 2.33

Summary:
- Total magnetic moment: 4.51 μB per cell
- Calculated volume: 19.4 A^3/atom
- Energy of formation: 0.464 eV/atom

=====

Computed, not measured: a geometry-optimized TaTlRh structure at the PBE level of DFT.

Cell: 3.0741 3.0741 6.9179 Å, 90.00 90.00 120.00°
With the nearest neighbours (Å) after each atom.
Space group P3m1 (No. 156)
Asymmetric unit:
1 Ta 0.0000 0.0000 0.0000 [1 per cell]  3 Rh 2.65
2 Tl 0.6667 0.3333 0.3723 [1 per cell]  3 Rh 2.97, 6 Tl 3.07, 3 Ta 3.13
3 Rh 0.3333 0.6667 0.7164 [1 per cell]  3 Ta 2.65

Summary:
- Total magnetic moment: 0.00 μB per cell
- Calculated volume: 18.9 A^3/atom
- Energy of formation: 0.171 eV/atom

=====

Computed, not measured: a geometry-optimized NaCaRe2O structure at the PBE level of DFT.

Cell: 4.0901 4.0901 4.9813 Å, 90.00 90.00 90.00°
With the nearest neighbours (Å) after each atom.
Space group P4/mmm (No. 123)
Asymmetric unit:
1 Na 0.0000 0.0000 0.0000 [1 per cell]  2 O 2.49
2 Ca 0.5000 0.5000 0.0000 [1 per cell]  4 Na 2.89, 8 Re 3.22
3 Re 0.0000 0.5000 0.5000 [2 per cell]  2 O 2.05
4 O 0.0000 0.0000 0.5000 [1 per cell]  4 Re 2.05

Summary:
- Total magnetic moment: 0.00 μB per cell
- Energy relative to the elements, uncorrected: 0.2783 eV/atom
- Calculated volume: 16.7 A^3/atom

=====

Computed, not measured: a geometry-optimized BaTl5Hg3 structure at the PBE level of DFT.

Cell: 3.9010 16.9704 17.5256 Å, 90.00 90.00 90.00°
With the nearest neighbours (Å) after each atom.
Space group Cmcm (No. 63)
Asymmetric unit:
1 Ba 0.0000 0.1510 0.2500 [4 per cell]  6 Hg 3.55, 2 Ba 3.90
2 Tl 0.0000 0.0000 0.0000 [4 per cell]  4 Hg 3.31, 6 Tl 3.38-3.45
3 Tl 0.0000 0.1864 0.5683 [8 per cell]  4 Hg 3.08-3.40, 1 Tl 3.38
4 Tl 0.0000 0.4585 0.1570 [8 per cell]  3 Hg 3.24-3.40, 5 Tl 3.26-3.50
5 Hg 0.0000 0.1742 0.7500 [4 per cell]  6 Tl 3.19-3.40, 2 Ba 3.55
6 Hg 0.0000 0.3671 0.5817 [8 per cell]  6 Tl 3.08-3.40

Summary:
- Total magnetic moment: 0.00 μB per cell
- Calculated volume: 32.2 A^3/atom
- Energy of formation: -0.121 eV/atom

=====

Computed, not measured: a geometry-optimized Pm3GaCu3 structure at the PBE level of DFT.

Cell: 10.4197 4.2925 14.7375 Å, 90.00 109.84 90.00°
With the nearest neighbours (Å) after each atom.
Space group C2/m (No. 12)
Asymmetric unit:
1 Pm 0.0411 0.0000 0.3892 [4 per cell]  7 Cu 3.02-3.21, 4 Ga 3.03-3.18
2 Pm 0.1035 0.0000 0.9202 [4 per cell]  7 Cu 3.04-3.17
3 Pm 0.2435 0.5000 0.7672 [4 per cell]  6 Cu 3.05-3.15, 2 Ga 3.24
4 Ga 0.2503 0.0000 0.6041 [4 per cell]  3 Cu 2.49-2.59
5 Cu 0.0492 0.5000 0.2333 [4 per cell]  1 Cu 2.53, 1 Ga 2.59
6 Cu 0.1024 0.5000 0.0780 [4 per cell]  2 Cu 2.53-2.55
7 Cu 0.1316 0.5000 0.5417 [4 per cell]  2 Ga 2.49, 1 Cu 2.60

Summary:
- Total magnetic moment: 0.00 μB per cell
- Calculated volume: 22.1 A^3/atom
- Energy of formation: -0.286 eV/atom
- Energy relative to the lowest polymorph listed for this composition: 0.0000 eV/atom

=====

Computed, not measured: a geometry-optimized ScAuI2 structure at the PBE level of DFT.

Cell: 7.4746 7.4746 7.4746 Å, 90.00 90.00 90.00°
With the nearest neighbours (Å) after each atom.
Space group Fm-3m (No. 225)
Asymmetric unit:
1 Sc 0.0000 0.0000 0.0000 [4 per cell]  8 I 3.24
2 Au 0.0000 0.0000 0.5000 [4 per cell]  8 I 3.24
3 I 0.2500 0.2500 0.2500 [8 per cell]  4 Sc 3.24, 4 Au 3.24

Summary:
- Total magnetic moment: 0.00 μB per cell
- Energy relative to the elements, uncorrected: -0.2332 eV/atom
- Calculated volume: 26.1 A^3/atom
- Energy relative to the lowest polymorph listed for this composition: 0.3340 eV/atom

=====

Computed, not measured: a geometry-optimized Sm5TmS6 structure at the PBE level of DFT.

Cell: 6.8963 11.9693 6.8893 Å, 90.00 109.64 90.00°
With the nearest neighbours (Å) after each atom.
Space group C2/m (No. 12)
Asymmetric unit:
1 Sm 0.0000 0.0000 0.0000 [2 per cell]  6 S 2.81-2.88
2 Sm 0.0000 0.1677 0.5000 [4 per cell]  6 S 2.81-2.84
3 Sm 0.0000 0.3288 0.0000 [4 per cell]  6 S 2.82-2.86
4 Tm 0.0000 0.5000 0.5000 [2 per cell]  6 S 2.73-2.75
5 S 0.2416 0.5000 0.2534 [4 per cell]  1 Tm 2.75, 5 Sm 2.84-2.88
6 S 0.2431 0.3383 0.7434 [8 per cell]  1 Tm 2.73, 5 Sm 2.81-2.86

Summary:
- Total magnetic moment: 0.00 μB per cell
- Energy relative to the elements, uncorrected: -2.0106 eV/atom
- Calculated volume: 22.3 A^3/atom

=====

Computed, not measured: a geometry-optimized Na2AcNpCl8 structure at the PBE level of DFT.

Cell: 6.5664 8.7992 6.6345 Å, 90.00 92.32 90.00°
With the nearest neighbours (Å) after each atom.
Space group P2/m (No. 10)
Asymmetric unit:
1 Na 0.0000 0.2457 0.0000 [2 per cell]  6 Cl 2.84-2.95
2 Ac 0.5000 0.5000 0.5000 [1 per cell]  6 Cl 2.83-2.93
3 Np 0.5000 0.0000 0.5000 [1 per cell]  6 Cl 2.70-2.78
4 Cl 0.2079 0.5000 0.1746 [2 per cell]  1 Ac 2.83, 2 Na 2.84
5 Cl 0.2204 0.0000 0.1912 [2 per cell]  1 Np 2.70, 2 Na 2.87
6 Cl 0.2933 0.2389 0.6750 [4 per cell]  1 Np 2.78, 1 Ac 2.93, 1 Na 2.95

Summary:
- Total magnetic moment: 4.00 μB per cell
- Energy relative to the elements, uncorrected: -1.9570 eV/atom
- Calculated volume: 31.9 A^3/atom

=====

Computed, not measured: a geometry-optimized AcCePrN3 structure at the PBE level of DFT.

Cell: 6.3367 3.7072 9.5575 Å, 90.00 101.75 90.00°
With the nearest neighbours (Å) after each atom.
Space group P2_1/m (No. 11)
Asymmetric unit:
1 Ac 0.1591 0.2500 0.1978 [2 per cell]  7 N 2.73-2.93
2 Ce 0.3567 0.2500 0.8548 [2 per cell]  5 N 2.34-2.57
3 Pr 0.2667 0.7500 0.5457 [2 per cell]  6 N 2.52-2.73
4 N 0.0502 0.2500 0.6715 [2 per cell]  1 Ce 2.34, 1 Pr 2.58
5 N 0.2651 0.7500 0.9855 [2 per cell]  3 Ce 2.37-2.57
6 N 0.4585 0.7500 0.3389 [2 per cell]  1 Ce 2.38, 3 Pr 2.52-2.63

Summary:
- Total magnetic moment: 1.78 μB per cell
- Energy relative to the elements, uncorrected: -1.2026 eV/atom
- Calculated volume: 18.3 A^3/atom